# TiBSe2 PBE relaxed
data_TiBSe2
_chemical_formula_sum 'Ti4 B4 Se8'
_space_group_name_H-M_alt 'I -4 2 d'
_space_group_IT_number 122
_space_group_name_Hall 'I -4 2bw'
_cell_length_a 5.641
_cell_length_b 5.641
_cell_length_c 9.377
_cell_angle_alpha 90.00
_cell_angle_beta 90.00
_cell_angle_gamma 90.00
loop_
_atom_site_label
_atom_site_type_symbol
_atom_site_fract_x
_atom_site_fract_y
_atom_site_fract_z
Ti1 Ti 0.000 0.000 0.000
B1 B 0.000 0.000 0.500
Se1 Se 0.182 0.250 0.625
# * formation energy from raw total energies: 24 meV per atom

# Ti3BSe PBE relaxed
data_Ti3BSe
_chemical_formula_sum 'Ti12 B4 Se4'
_space_group_name_H-M_alt 'C 1 2/m 1'
_space_group_IT_number 12
_space_group_name_Hall '-C 2y'
_cell_length_a 18.200
_cell_length_b 3.176
_cell_length_c 4.959
_cell_angle_alpha 90.00
_cell_angle_beta 97.58
_cell_angle_gamma 90.00
loop_
_atom_site_label
_atom_site_type_symbol
_atom_site_fract_x
_atom_site_fract_y
_atom_site_fract_z
Ti1 Ti 0.000 0.000 0.233
Ti2 Ti 0.140 0.500 0.067
Ti3 Ti 0.199 0.000 0.604
B1 B 0.238 0.000 0.080
Se1 Se 0.089 0.500 0.541
# * relative energy among the computed polymorphs: 0.00 eV per formula unit
# * formation energy from raw total energies: -699 meV per atom